[1]
Compound: KCu2Te2S6
Source: Alexandria via LeMat-Bulk
Functional: PBE
Structure: optimized geometry

* formation energy (no corrections): -0.15 eV per atom

Cell: 6.703 8.012 8.079 Å, 86.52 88.66 87.71°
Space group P-1 (No. 2)
Asymmetric unit:
1 K 0.000 0.000 0.000 x1
2 Cu 0.436 0.670 0.233 x2
3 Te 0.040 0.461 0.745 x2
4 S 0.208 0.632 0.441 x2
5 S 0.211 0.635 0.039 x2
6 S 0.271 0.227 0.750 x2



[2]
Compound: LiYTeSe
Source: Alexandria via LeMat-Bulk
Functional: PBE
Structure: optimized geometry

* formation energy (no corrections): -1.49 eV per atom

Cell: 4.2053 4.2053 20.3921 Å, 90.00 90.00 120.00°
Space group R3m (No. 160, hexagonal axes)
Asymmetric unit:
1 Li 0.0000 0.0000 0.0000 x3
2 Y 0.0000 0.0000 0.5112 x3
3 Te 0.0000 0.0000 0.7519 x3
4 Se 0.0000 0.0000 0.2545 x3



[3]
Compound: Zr2AgPd9
Source: Alexandria via LeMat-Bulk
Functional: PBE
Structure: optimized geometry

* ΔH_f (0 K): -0.5669 eV per atom

Cell: 4.032 4.032 12.048 Å, 90.00 90.00 90.00°
Space group P4/mmm (No. 123)
Asymmetric unit:
1 Zr 0.000 0.000 0.172 x2
2 Ag 0.000 0.000 0.500 x1
3 Pd 0.000 0.500 0.000 x2
4 Pd 0.000 0.500 0.330 x4
5 Pd 0.500 0.500 0.164 x2
6 Pd 0.500 0.500 0.500 x1



[4]
Compound: AlSbTe2
Source: Alexandria via LeMat-Bulk
Functional: PBE
Structure: optimized geometry

* ΔE to the lowest computed polymorph: 109 meV per atom
* formation energy (no corrections): 0.02 eV per atom

Cell: 3.910 5.056 12.201 Å, 90.00 90.00 90.00°
Space group Immm (No. 71)
Asymmetric unit:
1 Al 0.000 0.000 0.000 x2
2 Sb 0.000 0.000 0.500 x2
3 Te 0.000 0.500 0.338 x4



[5]
Compound: NbReAs2
Source: Alexandria via LeMat-Bulk
Functional: PBE
Structure: optimized geometry

* ΔE to the lowest computed polymorph: 348 meV per atom
* ΔH_f (0 K): 0.3438 eV per atom

Cell: 3.993 3.993 17.820 Å, 90.00 90.00 90.00°
Space group I-42d (No. 122)
Asymmetric unit:
1 Nb 0.000 0.000 0.000 x4
2 Re 0.000 0.000 0.500 x4
3 As 0.236 0.250 0.625 x8



[6]
Compound: Ho3ScSb2C
Source: Alexandria via LeMat-Bulk
Functional: PBE
Structure: optimized geometry

* formation energy (no corrections): -0.84 eV per atom

Cell: 4.509 4.730 15.736 Å, 90.00 90.00 90.00°
Space group Immm (No. 71)
Asymmetric unit:
1 Ho 0.000 0.000 0.000 x2
2 Ho 0.000 0.500 0.158 x4
3 Sc 0.000 0.000 0.500 x2
4 Sb 0.000 0.500 0.358 x4
5 C 0.000 0.500 0.000 x2



[7]
Compound: Cr2CoHg
Source: Alexandria via LeMat-Bulk
Functional: PBE
Structure: optimized geometry

* ΔH_f (0 K): 0.4531 eV per atom

Cell: 3.896 3.896 7.667 Å, 90.00 90.00 90.00°
Space group I-4m2 (No. 119)
Asymmetric unit:
1 Cr 0.000 0.000 0.000 x2
2 Cr 0.000 0.500 0.250 x2
3 Co 0.000 0.000 0.500 x2
4 Hg 0.000 0.500 0.750 x2



[8]
Compound: TbHoBiTe
Source: Alexandria via LeMat-Bulk
Functional: PBE
Structure: optimized geometry

* formation energy (no corrections): -1.09 eV per atom

Cell: 4.417 4.417 6.241 Å, 90.00 90.00 90.00°
Space group P4mm (No. 99)
Asymmetric unit:
1 Tb 0.000 0.000 0.000 x1
2 Ho 0.500 0.500 0.498 x1
3 Bi 0.500 0.500 0.999 x1
4 Te 0.000 0.000 0.500 x1



| no. | size of the total moment (μB per cell) |
| --- | --- |
| 1 | 0.00 |
| 2 | 0.00 |
| 3 | 0.00 |
| 4 | 0.00 |
| 5 | 0.00 |
| 6 | 0.01 |
| 7 | 2.53 |
| 8 | 0.00 |